Density functional theory data (PBEsol) for a relaxed TlMoOs2 crystal.

Properties
Crystal system: tetragonal
Energy of formation from the pure elements: 0.756 eV/atom
Electronic total energy: -35.80 eV per formula unit

Unit cell a=3.861 b=3.861 c=8.464 alpha=90.00 beta=90.00 gamma=90.00
Space group I-4m2 (No. 119)
Unique sites:
1 Tl 0.000 0.000 0.000 [2 per cell]
2 Mo 0.000 0.500 0.250 [2 per cell]
3 Os 0.000 0.000 0.500 [2 per cell]
4 Os 0.000 0.500 0.750 [2 per cell]